[1]
PBE-GGA Sc2BeOs, optimized geometry; crystal system = monoclinic; calculated total energy = -28.44 eV for the cell shown; symmetry = No. 8
1.0
4.9254 -1.5991 0.0000
4.9254 1.5991 0.0000
-1.7163 0.0000 4.2153
Sc Be Os
2 1 1
direct
0.0000 0.0000 0.0000
0.2100 0.2100 0.6742
0.7683 0.7683 0.2272
0.4473 0.4473 0.4473

[2]
PBE-GGA CsGe2Te3, optimized geometry; crystal system = tetragonal; calculated total energy = -21.56 eV for the cell shown; symmetry = No. 139
1.0
-2.7695 2.7695 7.2825
2.7695 -2.7695 7.2825
2.7695 2.7695 -7.2825
Cs Ge Te
1 2 3
direct
0.0000 0.0000 0.0000
0.3129 0.3129 0.0000
0.6871 0.6871 0.0000
0.2500 0.7500 0.5000
0.5000 0.5000 0.0000
0.7500 0.2500 0.5000

[3]
PBE-GGA LaMgB14, optimized geometry; crystal system = orthorhombic; calculated total energy = -206.76 eV for the cell shown; symmetry = No. 74
1.0
-2.9707 5.4208 4.1982
2.9707 -5.4208 4.1982
2.9707 5.4208 -4.1982
La Mg B
2 2 28
direct
0.3866 0.1366 0.2500
0.6134 0.8634 0.7500
0.0000 0.0000 0.5000
0.0000 0.5000 0.0000
0.0013 0.1311 0.8702
0.0278 0.2042 0.3270
0.0278 0.7009 0.8236
0.0856 0.6679 0.4176
0.1963 0.5304 0.6659
0.2181 0.4989 0.3982
0.2181 0.8199 0.7192
0.2391 0.8689 0.3702
0.2497 0.3321 0.9176
0.3645 0.5304 0.8341
0.3772 0.2042 0.6764
0.3772 0.7009 0.1730
0.3993 0.1801 0.8982
0.3993 0.5011 0.2192
0.6007 0.4989 0.7808
0.6007 0.8199 0.1018
0.6228 0.2991 0.8270
0.6228 0.7958 0.3236
0.6355 0.4696 0.1659
0.7503 0.6679 0.0824
0.7609 0.1311 0.6298
0.7819 0.1801 0.2808
0.7819 0.5011 0.6018
0.8037 0.4696 0.3341
0.9144 0.3321 0.5824
0.9722 0.2991 0.1764
0.9722 0.7958 0.6730
0.9987 0.8689 0.1298

[4]
PBE-GGA Tb2Si3AgPt12, optimized geometry; crystal system = trigonal; calculated total energy = -108.47 eV for the cell shown; symmetry = No. 166
1.0
4.1777 2.4120 5.7447
-4.1777 2.4120 5.7447
0.0000 -4.8240 5.7447
Tb Si Ag Pt
2 3 1 12
direct
0.1058 0.1058 0.1058
0.8942 0.8942 0.8942
0.0000 0.5000 0.5000
0.5000 0.0000 0.5000
0.5000 0.5000 0.0000
0.5000 0.5000 0.5000
0.1142 0.6435 0.6435
0.1450 0.1450 0.6035
0.1450 0.6035 0.1450
0.3565 0.3565 0.8858
0.3565 0.8858 0.3565
0.3965 0.8550 0.8550
0.6035 0.1450 0.1450
0.6435 0.1142 0.6435
0.6435 0.6435 0.1142
0.8550 0.3965 0.8550
0.8550 0.8550 0.3965
0.8858 0.3565 0.3565

[5]
PBE-GGA CaTmCu3, optimized geometry; crystal system = orthorhombic; calculated total energy = -39.26 eV for the cell shown; symmetry = No. 63
1.0
1.8805 -12.6711 0.0000
1.8805 12.6711 0.0000
0.0000 0.0000 4.2340
Ca Tm Cu
2 2 6
direct
0.0730 0.9270 0.7500
0.9270 0.0730 0.2500
0.2055 0.7945 0.2500
0.7945 0.2055 0.7500
0.3235 0.6765 0.2500
0.3785 0.6215 0.7500
0.4754 0.5246 0.7500
0.5246 0.4754 0.2500
0.6215 0.3785 0.2500
0.6765 0.3235 0.7500

[6]
PBE-GGA PmPr6NdY2, optimized geometry; crystal system = monoclinic; calculated total energy = -49.05 eV for the cell shown; symmetry = No. 12
1.0
5.6812 -3.5900 0.0000
5.6812 3.5900 0.0000
-2.0763 0.0000 8.7862
Pm Pr Nd Y
1 6 1 2
direct
0.0000 0.0000 0.0000
0.0941 0.5517 0.1992
0.1349 0.1349 0.4284
0.4483 0.9059 0.8008
0.5517 0.0941 0.1992
0.8651 0.8651 0.5716
0.9059 0.4483 0.8008
0.5000 0.5000 0.5000
0.4101 0.4101 0.8384
0.5899 0.5899 0.1616

[7]
PBE-GGA CeHfAu, optimized geometry; crystal system = tetragonal; calculated total energy = -20.16 eV for the cell shown; symmetry = No. 107
1.0
-1.6626 1.6626 6.3267
1.6626 -1.6626 6.3267
1.6626 1.6626 -6.3267
Ce Hf Au
1 1 1
direct
0.0000 0.0000 0.0000
0.3157 0.3157 0.0000
0.6860 0.6860 0.0000

[8]
PBE-GGA Pm2SbC, optimized geometry; crystal system = tetragonal; calculated total energy = -21.59 eV for the cell shown; symmetry = No. 123
1.0
4.9082 0.0000 0.0000
0.0000 4.9082 0.0000
0.0000 0.0000 3.9023
Pm Sb C
2 1 1
direct
0.0000 0.5000 0.0000
0.5000 0.0000 0.0000
0.0000 0.0000 0.5000
0.5000 0.5000 0.5000

[9]
PBE-GGA Tm2BeSi3Ni12, optimized geometry; crystal system = trigonal; calculated total energy = -101.17 eV for the cell shown; symmetry = No. 166
1.0
3.0786 1.7774 7.4964
-3.0786 1.7774 7.4964
0.0000 -3.5548 7.4964
Tm Be Si Ni
2 1 3 12
direct
0.1543 0.1543 0.1543
0.8457 0.8457 0.8457
0.5000 0.5000 0.5000
0.0000 0.5000 0.5000
0.5000 0.0000 0.5000
0.5000 0.5000 0.0000
0.0873 0.0873 0.6837
0.0873 0.6837 0.0873
0.1585 0.5742 0.5742
0.3163 0.9127 0.9127
0.4258 0.4258 0.8415
0.4258 0.8415 0.4258
0.5742 0.1585 0.5742
0.5742 0.5742 0.1585
0.6837 0.0873 0.0873
0.8415 0.4258 0.4258
0.9127 0.3163 0.9127
0.9127 0.9127 0.3163

[10]
PBE-GGA Ac2RhS, optimized geometry; crystal system = tetragonal; calculated total energy = -24.09 eV for the cell shown; symmetry = No. 123
1.0
3.6934 0.0000 0.0000
0.0000 3.6934 0.0000
0.0000 0.0000 7.6714
Ac Rh S
2 1 1
direct
0.0000 0.0000 0.2412
0.0000 0.0000 0.7588
0.5000 0.5000 0.0000
0.5000 0.5000 0.5000

[11]
PBE-GGA LaTbPm2Sm5, optimized geometry; crystal system = tetragonal; calculated total energy = -80.61 eV for the cell shown; symmetry = No. 140
1.0
-4.4458 4.4458 7.8645
4.4458 -4.4458 7.8645
4.4458 4.4458 -7.8645
La Tb Pm Sm
2 2 4 10
direct
0.2500 0.2500 0.0000
0.7500 0.7500 0.0000
0.2500 0.7500 0.5000
0.7500 0.2500 0.5000
0.1169 0.6169 0.7338
0.3831 0.1169 0.5000
0.6169 0.8831 0.5000
0.8831 0.3831 0.2662
0.0000 0.0000 0.0000
0.0711 0.1562 0.5000
0.1562 0.6562 0.0851
0.3438 0.4289 0.5000
0.4289 0.9289 0.0851
0.5000 0.5000 0.0000
0.5711 0.0711 0.9149
0.6562 0.5711 0.5000
0.8438 0.3438 0.9149
0.9289 0.8438 0.5000

[12]
PBE-GGA Er2ScTl, optimized geometry; crystal system = cubic; calculated total energy = -17.98 eV for the cell shown; symmetry = No. 225
1.0
0.0000 3.7673 3.7673
3.7673 0.0000 3.7673
3.7673 3.7673 0.0000
Er Sc Tl
2 1 1
direct
0.2500 0.2500 0.2500
0.7500 0.7500 0.7500
0.0000 0.0000 0.0000
0.5000 0.5000 0.5000

Question: Among the records above, which one has the highest calculated total energy?
Answer: Er2ScTl